Entry 1:
A geometry-optimized TmZnCd2 structure. Source: Alexandria via LeMat-Bulk, functional PBE-GGA.

The space group is P2_1/m (No. 11) and the conventional cell measures 6.0258, 4.5845 and 6.3591 Å, with angles of 90.00, 90.06 and 90.00 degrees. The distinct sites, in fractional coordinates, are Tm at (0.2501, 0.2500, 0.0896), Zn at (0.2499, 0.7500, 0.7735), Cd at (0.0035, 0.7500, 0.3557) and Cd at (0.4977, 0.7500, 0.3558).

The total magnetic moment is 0.0 μB per formula unit. For the final energy, the calculation gives -17.0 eV/cell. Its calculated formation energy is -0.23 eV/atom. The calculated volume is 21.96 A^3/atom.

=====

Entry 2:
A geometry-optimized Tm3Zn9Cd2 structure. Source: Alexandria via LeMat-Bulk, functional PBE-GGA.

The space group is Immm (No. 71) and the conventional cell measures 4.4607, 8.8752 and 13.1629 Å, with angles of 90.00, 90.00 and 90.00 degrees. The distinct sites, in fractional coordinates, are Tm at (0.0000, 0.0000, 0.0000), Tm at (0.0000, 0.0000, 0.2867), Zn at (0.0000, 0.2801, 0.1428), Zn at (0.0000, 0.3621, 0.3366), Zn at (0.0000, 0.5000, 0.0000) and Cd at (0.0000, 0.1845, 0.5000).

The total magnetic moment is 0.0 μB per formula unit. For the final energy, the calculation gives -61.2 eV/cell. Its calculated formation energy is -0.28 eV/atom. The calculated volume is 18.61 A^3/atom.

=====

Entry 3:
A geometry-optimized TmZnCd3 structure. Source: Alexandria via LeMat-Bulk, functional PBE-GGA.

The space group is Pnma (No. 62) and the conventional cell measures 9.0851, 4.1210 and 11.8229 Å, with angles of 90.00, 90.00 and 90.00 degrees. The distinct sites, in fractional coordinates, are Tm at (0.1757, 0.2500, 0.0035), Zn at (0.1380, 0.2500, 0.6293), Cd at (0.0632, 0.2500, 0.4070), Cd at (0.0853, 0.7500, 0.2033) and Cd at (0.1497, 0.7500, 0.7966).

The total magnetic moment is 0.0 μB per formula unit. For the final energy, the calculation gives -37.3 eV/cell. Its calculated formation energy is -0.17 eV/atom. The calculated volume is 22.13 A^3/atom.

=====

Entry 4:
A geometry-optimized Tm3ZnCd3 structure. Source: Alexandria via LeMat-Bulk, functional PBE-GGA.

The space group is Imm2 (No. 44) and the conventional cell measures 3.4786, 4.8079 and 20.1539 Å, with angles of 90.00, 90.00 and 90.00 degrees. The distinct sites, in fractional coordinates, are Tm at (0.0000, 0.0000, 0.0000), Tm at (0.0000, 0.0000, 0.3982), Tm at (0.0000, 0.5000, 0.2063), Zn at (0.0000, 0.5000, 0.7700), Cd at (0.0000, 0.0000, 0.5573), Cd at (0.0000, 0.0000, 0.8428) and Cd at (0.0000, 0.5000, 0.6372).

The total magnetic moment is 0.0 μB per formula unit. For the final energy, the calculation gives -38.5 eV/cell. Its calculated formation energy is -0.26 eV/atom. The calculated volume is 24.08 A^3/atom.

=====

Entry 5:
A geometry-optimized TmZrCd structure. Source: Alexandria via LeMat-Bulk, functional PBE-GGA.

The space group is P-3m1 (No. 164) and the conventional cell measures 5.0489, 5.0489 and 6.7059 Å, with angles of 90.00, 90.00 and 120.00 degrees. The distinct sites, in fractional coordinates, are Tm at (0.0000, 0.0000, 0.2409), Zr at (0.3333, 0.6667, 0.9903) and Cd at (0.3333, 0.6667, 0.4713).

The total magnetic moment is 0.0 μB per formula unit. For the final energy, the calculation gives -28.1 eV/cell. Its calculated formation energy is -0.03 eV/atom. The calculated volume is 24.67 A^3/atom. For the distance to the lowest polymorph of the same formula, the calculation gives 0.33 eV/f.u.

=====

Entry 6:
A geometry-optimized TmZr2Cd2 structure. Source: Alexandria via LeMat-Bulk, functional PBE-GGA.

The space group is I4/mmm (No. 139) and the conventional cell measures 4.1401, 4.1401 and 14.4020 Å, with angles of 90.00, 90.00 and 90.00 degrees. The distinct sites, in fractional coordinates, are Tm at (0.0000, 0.0000, 0.0000), Zr at (0.0000, 0.5000, 0.2500) and Cd at (0.0000, 0.0000, 0.4041).

The total magnetic moment is 0.0 μB per formula unit. For the final energy, the calculation gives -46.0 eV/cell. Its calculated formation energy is 0.08 eV/atom. The calculated volume is 24.69 A^3/atom.

=====

Entry 7:
A geometry-optimized Tm2ZrCd structure. Source: Alexandria via LeMat-Bulk, functional PBE-GGA.

The space group is P4/mmm (No. 123) and the conventional cell measures 3.4184, 3.4184 and 8.8320 Å, with angles of 90.00, 90.00 and 90.00 degrees. The distinct sites, in fractional coordinates, are Tm at (0.0000, 0.0000, 0.2455), Zr at (0.5000, 0.5000, 0.5000) and Cd at (0.5000, 0.5000, 0.0000).

The total magnetic moment is 0.0 μB per formula unit. For the final energy, the calculation gives -19.0 eV/cell. Its calculated formation energy is -0.15 eV/atom. The calculated volume is 25.80 A^3/atom. For the distance to the lowest polymorph of the same formula, the calculation gives 0.00 eV/f.u.

=====

Entry 8:
A geometry-optimized Tm2ZrCd structure. Source: Alexandria via LeMat-Bulk, functional PBE-GGA.

The space group is P4/mmm (No. 123) and the conventional cell measures 4.6997, 4.6997 and 4.5786 Å, with angles of 90.00, 90.00 and 90.00 degrees. The distinct sites, in fractional coordinates, are Tm at (0.0000, 0.5000, 0.0000), Zr at (0.0000, 0.0000, 0.5000) and Cd at (0.5000, 0.5000, 0.5000).

The total magnetic moment is 0.0 μB per formula unit. For the final energy, the calculation gives -18.5 eV/cell. Its calculated formation energy is -0.03 eV/atom. The calculated volume is 25.28 A^3/atom. For the distance to the lowest polymorph of the same formula, the calculation gives 0.48 eV/f.u.

=====

Entry 9:
A geometry-optimized TmZrCd2 structure. Source: Alexandria via LeMat-Bulk, functional PBE-GGA.

The space group is R-3m (No. 166, hexagonal axes) and the conventional cell measures 3.3253, 3.3253 and 30.6439 Å, with angles of 90.00, 90.00 and 120.00 degrees. The distinct sites, in fractional coordinates, are Tm at (0.0000, 0.0000, 0.0000), Zr at (0.0000, 0.0000, 0.5000) and Cd at (0.0000, 0.0000, 0.2482).

The total magnetic moment is 0.0 μB per formula unit. For the final energy, the calculation gives -44.9 eV/cell. Its calculated formation energy is -0.03 eV/atom. The calculated volume is 24.45 A^3/atom. For the distance to the lowest polymorph of the same formula, the calculation gives 0.53 eV/f.u.

=====

Entry 10:
A geometry-optimized TmZrCd structure. Source: Alexandria via LeMat-Bulk, functional PBE-GGA.

The space group is P3m1 (No. 156) and the conventional cell measures 5.1068, 5.1068 and 3.3123 Å, with angles of 90.00, 90.00 and 120.00 degrees. The distinct sites, in fractional coordinates, are Tm at (0.0000, 0.0000, 0.0000), Zr at (0.6667, 0.3333, 0.5232) and Cd at (0.3333, 0.6667, 0.4375).

The total magnetic moment is 0.0 μB per formula unit. For the final energy, the calculation gives -13.8 eV/cell. Its calculated formation energy is 0.06 eV/atom. The calculated volume is 24.94 A^3/atom. For the distance to the lowest polymorph of the same formula, the calculation gives 0.61 eV/f.u.

=====

Entry 11:
A geometry-optimized Tm5ZrCd4 structure. Source: Alexandria via LeMat-Bulk, functional PBE-GGA.

The space group is P4/mmm (No. 123) and the conventional cell measures 3.5508, 3.5508 and 20.2656 Å, with angles of 90.00, 90.00 and 90.00 degrees. The distinct sites, in fractional coordinates, are Tm at (0.0000, 0.0000, 0.0000), Tm at (0.0000, 0.0000, 0.1928), Tm at (0.0000, 0.0000, 0.3939), Zr at (0.5000, 0.5000, 0.5000), Cd at (0.5000, 0.5000, 0.0961) and Cd at (0.5000, 0.5000, 0.2915).

The total magnetic moment is 0.0 μB per formula unit. For the final energy, the calculation gives -36.9 eV/cell. Its calculated formation energy is -0.23 eV/atom. The calculated volume is 25.55 A^3/atom.

=====

Entry 12:
A geometry-optimized Tm4ZrCd5 structure. Source: Alexandria via LeMat-Bulk, functional PBE-GGA.

The space group is P4/mmm (No. 123) and the conventional cell measures 3.6692, 3.6692 and 18.1989 Å, with angles of 90.00, 90.00 and 90.00 degrees. The distinct sites, in fractional coordinates, are Tm at (0.0000, 0.0000, 0.1026), Tm at (0.0000, 0.0000, 0.3069), Zr at (0.0000, 0.0000, 0.5000), Cd at (0.5000, 0.5000, 0.0000), Cd at (0.5000, 0.5000, 0.2052) and Cd at (0.5000, 0.5000, 0.4080).

The total magnetic moment is 0.1 μB per formula unit. For the final energy, the calculation gives -33.5 eV/cell. Its calculated formation energy is -0.25 eV/atom. The calculated volume is 24.50 A^3/atom.